{
  "formula": "Mg2CdAu9",
  "functional": "PBE",
  "state": "optimized geometry",
  "lattice_angstrom": [[4.166, 0.000, 0.000], [0.000, 4.166, 0.000], [0.000, 0.000, 12.530]],
  "species": ["Au", "Au", "Au", "Au", "Au", "Au", "Mg", "Cd", "Au", "Au", "Mg", "Au"],
  "frac_coords": [[0.500, 0.000, 0.172], [0.000, 0.500, 0.828], [0.000, 0.500, 0.172], [0.500, 0.500, 0.000], [0.500, 0.000, 0.500], [0.000, 0.500, 0.500], [0.000, 0.000, 0.666], [0.000, 0.000, 0.000], [0.500, 0.000, 0.828], [0.500, 0.500, 0.336], [0.000, 0.000, 0.334], [0.500, 0.500, 0.664]],
  "spacegroup": "P4/mmm",
  "e_form_ev_per_atom": -0.30
}